This record from Alexandria via LeMat-Bulk describes an optimized crystal structure of AcCe2PuSe4. The functional is PBE.

Lattice parameters (Å, degrees): 4.2490 7.4188 7.3941 70.78 90.00 90.00
Atoms (fractional coordinates):
Ac (0.5000, 0.5000, 0.0000)
Ce (0.0000, 0.0000, 0.0000)
Ce (0.5000, 0.0000, 0.5000)
Pu (0.0000, 0.5000, 0.5000)
Se (0.0000, 0.7591, 0.7364)
Se (0.0000, 0.2409, 0.2636)
Se (0.5000, 0.7514, 0.2601)
Se (0.5000, 0.2486, 0.7399)

space group = P2/m
total DFT energy (no corrections) = -7.27 eV per atom
formation energy from raw total energies = -1.738 eV per atom

This record from Alexandria via LeMat-Bulk describes an optimized crystal structure of PrPuAgSn. The functional is PBE.

Lattice parameters (Å, degrees): 5.3767 5.3767 5.3767 60.00 60.00 60.00
Atoms (fractional coordinates):
Pr (0.5000, 0.5000, 0.5000)
Sn (0.7500, 0.7500, 0.7500)
Ag (0.2500, 0.2500, 0.2500)
Pu (0.0000, 0.0000, 0.0000)

space group = F-43m
total DFT energy (no corrections) = -6.80 eV per atom

This record from Alexandria via LeMat-Bulk describes an optimized crystal structure of KRbGa2Sn. The functional is PBE.

Lattice parameters (Å, degrees): 6.0289 6.2371 6.0289 90.00 90.00 90.00
Atoms (fractional coordinates):
K (0.0000, 0.0000, 0.0000)
Ga (0.0000, 0.0000, 0.5000)
Ga (0.5000, 0.0000, 0.0000)
Sn (0.0000, 0.5000, 0.0000)
Rb (0.5000, 0.5000, 0.5000)

space group = P4/mmm
total DFT energy (no corrections) = -1.76 eV per atom

This record from Alexandria via LeMat-Bulk describes an optimized crystal structure of Pm5CdNi4. The functional is PBE.

Lattice parameters (Å, degrees): 3.4936 3.4936 18.2740 90.00 90.00 90.00
Atoms (fractional coordinates):
Pm (0.5000, 0.5000, 0.1246)
Pm (0.5000, 0.5000, 0.3113)
Pm (0.5000, 0.5000, 0.5000)
Pm (0.5000, 0.5000, 0.6887)
Pm (0.5000, 0.5000, 0.8754)
Cd (0.0000, 0.0000, 0.0000)
Ni (0.0000, 0.0000, 0.2145)
Ni (0.0000, 0.0000, 0.4065)
Ni (0.0000, 0.0000, 0.5935)
Ni (0.0000, 0.0000, 0.7855)

space group = P4/mmm
total DFT energy (no corrections) = -5.05 eV per atom

This record from Alexandria via LeMat-Bulk describes an optimized crystal structure of TaAlSeN2. The functional is PBE.

Lattice parameters (Å, degrees): 3.7593 3.7593 4.8420 90.00 90.00 90.00
Atoms (fractional coordinates):
N (0.0000, 0.5000, 0.0000)
N (0.5000, 0.0000, 0.0000)
Al (0.0000, 0.0000, 0.0000)
Se (0.0000, 0.0000, 0.5000)
Ta (0.5000, 0.5000, 0.5000)

space group = P4/mmm
total DFT energy (no corrections) = -6.45 eV per atom
formation energy from raw total energies = 0.701 eV per atom
offset from the most stable computed form = 0.592 eV per atom

This record from Alexandria via LeMat-Bulk describes an optimized crystal structure of DyYPu4. The functional is PBE.

Lattice parameters (Å, degrees): 6.1731 6.1731 6.1731 60.00 60.00 60.00
Atoms (fractional coordinates):
Y (0.0000, 0.0000, 0.0000)
Dy (0.2500, 0.2500, 0.2500)
Pu (0.6249, 0.6249, 0.1254)
Pu (0.6249, 0.1254, 0.6249)
Pu (0.6249, 0.6249, 0.6249)
Pu (0.1254, 0.6249, 0.6249)

space group = F-43m
total DFT energy (no corrections) = -11.17 eV per atom

This record from Alexandria via LeMat-Bulk describes an optimized crystal structure of NaZnPb2O6. The functional is PBE.

Lattice parameters (Å, degrees): 5.5992 5.5989 5.9313 61.83 61.83 60.00
Atoms (fractional coordinates):
Na (0.8006, 0.8006, 0.5982)
Zn (0.3164, 0.3164, 0.0508)
Pb (0.5256, 0.5256, 0.4232)
Pb (0.0168, 0.0168, 0.9496)
O (0.5976, 0.2265, 0.2387)
O (0.2265, 0.9372, 0.2387)
O (0.9372, 0.5976, 0.2387)
O (0.3905, 0.7035, 0.7591)
O (0.7036, 0.1467, 0.7591)
O (0.1468, 0.3905, 0.7591)

space group = R3
total DFT energy (no corrections) = -4.91 eV per atom
formation energy from raw total energies = -0.939 eV per atom

This record from Alexandria via LeMat-Bulk describes an optimized crystal structure of NaUHgCl6. The functional is PBE.

Lattice parameters (Å, degrees): 7.0945 7.0946 8.7300 90.06 89.94 59.92
Atoms (fractional coordinates):
Na (0.6664, 0.6665, 0.4999)
U (0.3334, 0.3334, 0.5000)
Hg (0.0001, 0.9998, 0.0004)
Cl (0.0360, 0.3427, 0.3324)
Cl (0.3427, 0.0360, 0.6675)
Cl (0.6211, 0.3434, 0.6674)
Cl (0.0345, 0.6224, 0.6673)
Cl (0.3433, 0.6213, 0.3325)
Cl (0.6224, 0.0346, 0.3326)

space group = C2
total DFT energy (no corrections) = -4.17 eV per atom
formation energy from raw total energies = -1.502 eV per atom

This record from Alexandria via LeMat-Bulk describes an optimized crystal structure of LaYGe. The functional is PBE.

Lattice parameters (Å, degrees): 4.4142 4.3999 8.4888 90.00 90.07 90.00
Atoms (fractional coordinates):
La (0.2338, 0.2500, 0.9929)
La (0.7662, 0.7500, 0.0071)
Y (0.7459, 0.2500, 0.3657)
Y (0.2541, 0.7500, 0.6343)
Ge (0.7500, 0.2500, 0.7125)
Ge (0.2500, 0.7500, 0.2875)

space group = P2_1/m
total DFT energy (no corrections) = -5.92 eV per atom
offset from the most stable computed form = 0.072 eV per atom